Computed, not measured: crystalline PaTaSi2Ru5 at its relaxed geometry at the PBE level of DFT.

Structure (CIF):
```
data_PaTaSi2Ru5
_chemical_formula_sum 'Pa1 Ta1 Si2 Ru5'
_cell_length_a 3.844
_cell_length_b 3.844
_cell_length_c 11.248
_cell_angle_alpha 90.00
_cell_angle_beta 90.00
_cell_angle_gamma 90.00
_space_group_name_H-M_alt 'P 4/m m m'
_space_group_IT_number 123
_space_group_name_Hall '-P 4 2'
loop_
_atom_site_label
_atom_site_type_symbol
_atom_site_fract_x
_atom_site_fract_y
_atom_site_fract_z
_atom_site_occupancy
Pa1 Pa 0.000 0.000 0.000 1
Ta1 Ta 0.500 0.500 0.500 1
Si1 Si 0.500 0.500 0.208 1
Ru1 Ru 0.000 0.500 0.335 1
Ru2 Ru 0.500 0.500 0.000 1
```

Computed properties:
Energy = -8.619 eV per atom
Size of the total moment = 0.01 Bohr magnetons per cell
E_form (uncorrected) = 0.112 eV/atom


Computed, not measured: crystalline PaTaSi2Ru at its relaxed geometry at the PBE level of DFT.

Structure (CIF):
```
data_PaTaSi2Ru
_chemical_formula_sum 'Pa2 Ta2 Si4 Ru2'
_cell_length_a 4.000
_cell_length_b 4.000
_cell_length_c 11.016
_cell_angle_alpha 90.00
_cell_angle_beta 90.00
_cell_angle_gamma 90.00
_space_group_name_H-M_alt 'I -4 m 2'
_space_group_IT_number 119
_space_group_name_Hall 'I -4 -2'
loop_
_atom_site_label
_atom_site_type_symbol
_atom_site_fract_x
_atom_site_fract_y
_atom_site_fract_z
_atom_site_occupancy
Pa1 Pa 0.000 0.000 0.000 1
Ta1 Ta 0.000 0.500 0.250 1
Si1 Si 0.000 0.000 0.393 1
Ru1 Ru 0.000 0.500 0.750 1
```

Computed properties:
Energy = -8.851 eV per atom
Size of the total moment = 0.00 Bohr magnetons per cell
E_form (uncorrected) = -0.557 eV/atom


Computed, not measured: crystalline PaSiTcRu at its relaxed geometry at the PBE level of DFT.

Structure (CIF):
```
data_PaSiTcRu
_chemical_formula_sum 'Pa1 Si1 Tc1 Ru1'
_cell_length_a 3.656
_cell_length_b 4.550
_cell_length_c 4.606
_cell_angle_alpha 90.00
_cell_angle_beta 90.00
_cell_angle_gamma 90.00
_space_group_name_H-M_alt 'P m m m'
_space_group_IT_number 47
loop_
_space_group_symop_operation_xyz
'x,y,z'
'-x,-y,-z'
'-x,-y,z'
'x,y,-z'
'x,-y,-z'
'-x,y,z'
'-x,y,-z'
'x,-y,z'
loop_
_atom_site_label
_atom_site_type_symbol
_atom_site_fract_x
_atom_site_fract_y
_atom_site_fract_z
_atom_site_occupancy
Pa1 Pa 0.000 0.000 0.000 1
Si1 Si 0.500 0.500 0.500 1
Tc1 Tc 0.500 0.500 0.000 1
Ru1 Ru 0.500 0.000 0.500 1
```

Computed properties:
Energy = -8.833 eV per atom
Size of the total moment = 0.00 Bohr magnetons per cell
E_form (uncorrected) = -0.193 eV/atom
Relative energy among the computed polymorphs = 200 meV/atom


Computed, not measured: crystalline PaSiTcRu at its relaxed geometry at the PBE level of DFT.

Structure (CIF):
```
data_PaSiTcRu
_chemical_formula_sum 'Pa4 Si4 Tc4 Ru4'
_cell_length_a 6.480
_cell_length_b 6.480
_cell_length_c 6.480
_cell_angle_alpha 90.00
_cell_angle_beta 90.00
_cell_angle_gamma 90.00
_space_group_name_H-M_alt 'F -4 3 m'
_space_group_IT_number 216
_space_group_name_Hall 'F -4 2 3'
loop_
_atom_site_label
_atom_site_type_symbol
_atom_site_fract_x
_atom_site_fract_y
_atom_site_fract_z
_atom_site_occupancy
Pa1 Pa 0.000 0.000 0.000 1
Si1 Si 0.000 0.000 0.500 1
Tc1 Tc 0.250 0.250 0.750 1
Ru1 Ru 0.250 0.250 0.250 1
```

Computed properties:
Energy = -9.033 eV per atom
Size of the total moment = 0.00 Bohr magnetons per cell
E_form (uncorrected) = -0.393 eV/atom
Relative energy among the computed polymorphs = 0 meV/atom


Computed, not measured: crystalline PaSi2TcRu5 at its relaxed geometry at the PBE level of DFT.

Structure (CIF):
```
data_PaSi2TcRu5
_chemical_formula_sum 'Pa1 Si2 Tc1 Ru5'
_cell_length_a 4.233
_cell_length_b 4.233
_cell_length_c 10.273
_cell_angle_alpha 90.00
_cell_angle_beta 90.00
_cell_angle_gamma 90.00
_space_group_name_H-M_alt 'P 4/m m m'
_space_group_IT_number 123
_space_group_name_Hall '-P 4 2'
loop_
_atom_site_label
_atom_site_type_symbol
_atom_site_fract_x
_atom_site_fract_y
_atom_site_fract_z
_atom_site_occupancy
Pa1 Pa 0.000 0.000 0.000 1
Si1 Si 0.500 0.500 0.274 1
Tc1 Tc 0.500 0.500 0.500 1
Ru1 Ru 0.000 0.500 0.185 1
Ru2 Ru 0.500 0.500 0.000 1
```

Computed properties:
Energy = -8.143 eV per atom
Size of the total moment = 2.54 Bohr magnetons per cell
E_form (uncorrected) = 0.423 eV/atom


Computed, not measured: crystalline PaTiSi2Ru at its relaxed geometry at the PBE level of DFT.

Structure (CIF):
```
data_PaTiSi2Ru
_chemical_formula_sum 'Pa2 Ti2 Si4 Ru2'
_cell_length_a 3.983
_cell_length_b 3.983
_cell_length_c 10.822
_cell_angle_alpha 90.00
_cell_angle_beta 90.00
_cell_angle_gamma 90.00
_space_group_name_H-M_alt 'I -4 m 2'
_space_group_IT_number 119
_space_group_name_Hall 'I -4 -2'
loop_
_atom_site_label
_atom_site_type_symbol
_atom_site_fract_x
_atom_site_fract_y
_atom_site_fract_z
_atom_site_occupancy
Pa1 Pa 0.000 0.000 0.000 1
Ti1 Ti 0.000 0.500 0.750 1
Si1 Si 0.000 0.000 0.391 1
Ru1 Ru 0.000 0.500 0.250 1
```

Computed properties:
Energy = -8.227 eV per atom
Size of the total moment = 0.00 Bohr magnetons per cell
E_form (uncorrected) = -0.725 eV/atom


Computed, not measured: crystalline Pa2TiSi2Ru5 at its relaxed geometry at the PBE level of DFT.

Structure (CIF):
```
data_Pa2TiSi2Ru5
_chemical_formula_sum 'Pa4 Ti2 Si4 Ru10'
_cell_length_a 9.903
_cell_length_b 9.903
_cell_length_c 3.374
_cell_angle_alpha 90.00
_cell_angle_beta 90.00
_cell_angle_gamma 90.00
_space_group_name_H-M_alt 'P 4/m b m'
_space_group_IT_number 127
_space_group_name_Hall '-P 4 2ab'
loop_
_atom_site_label
_atom_site_type_symbol
_atom_site_fract_x
_atom_site_fract_y
_atom_site_fract_z
_atom_site_occupancy
Pa1 Pa 0.175 0.325 0.000 1
Ti1 Ti 0.000 0.000 0.000 1
Si1 Si 0.124 0.624 0.000 1
Ru1 Ru 0.000 0.500 0.500 1
Ru2 Ru 0.069 0.789 0.500 1
```

Computed properties:
Energy = -9.046 eV per atom
Size of the total moment = 0.00 Bohr magnetons per cell
E_form (uncorrected) = -0.635 eV/atom


Computed, not measured: crystalline Tm2PaSi2Ru5 at its relaxed geometry at the PBE level of DFT.

Structure (CIF):
```
data_Tm2PaSi2Ru5
_chemical_formula_sum 'Tm4 Pa2 Si4 Ru10'
_cell_length_a 9.929
_cell_length_b 9.929
_cell_length_c 3.436
_cell_angle_alpha 90.00
_cell_angle_beta 90.00
_cell_angle_gamma 90.00
_space_group_name_H-M_alt 'P 4/m b m'
_space_group_IT_number 127
_space_group_name_Hall '-P 4 2ab'
loop_
_atom_site_label
_atom_site_type_symbol
_atom_site_fract_x
_atom_site_fract_y
_atom_site_fract_z
_atom_site_occupancy
Tm1 Tm 0.170 0.330 0.000 1
Pa1 Pa 0.000 0.000 0.000 1
Si1 Si 0.126 0.626 0.000 1
Ru1 Ru 0.000 0.500 0.500 1
Ru2 Ru 0.071 0.789 0.500 1
```

Computed properties:
Energy = -8.322 eV per atom
Size of the total moment = 0.00 Bohr magnetons per cell
E_form (uncorrected) = -0.756 eV/atom


Computed, not measured: crystalline UPa2Si2Ru5 at its relaxed geometry at the PBE level of DFT.

Structure (CIF):
```
data_UPa2Si2Ru5
_chemical_formula_sum 'U2 Pa4 Si4 Ru10'
_cell_length_a 9.884
_cell_length_b 9.884
_cell_length_c 3.566
_cell_angle_alpha 90.00
_cell_angle_beta 90.00
_cell_angle_gamma 90.00
_space_group_name_H-M_alt 'P 4/m b m'
_space_group_IT_number 127
_space_group_name_Hall '-P 4 2ab'
loop_
_atom_site_label
_atom_site_type_symbol
_atom_site_fract_x
_atom_site_fract_y
_atom_site_fract_z
_atom_site_occupancy
U1 U 0.000 0.000 0.000 1
Pa1 Pa 0.171 0.329 0.000 1
Si1 Si 0.125 0.625 0.000 1
Ru1 Ru 0.000 0.500 0.500 1
Ru2 Ru 0.070 0.787 0.500 1
```

Computed properties:
Energy = -9.277 eV per atom
Size of the total moment = 3.50 Bohr magnetons per cell
E_form (uncorrected) = -0.526 eV/atom


Computed, not measured: crystalline UPaSi2Ru5 at its relaxed geometry at the PBE level of DFT.

Structure (CIF):
```
data_UPaSi2Ru5
_chemical_formula_sum 'U1 Pa1 Si2 Ru5'
_cell_length_a 3.872
_cell_length_b 3.872
_cell_length_c 11.307
_cell_angle_alpha 90.00
_cell_angle_beta 90.00
_cell_angle_gamma 90.00
_space_group_name_H-M_alt 'P 4/m m m'
_space_group_IT_number 123
_space_group_name_Hall '-P 4 2'
loop_
_atom_site_label
_atom_site_type_symbol
_atom_site_fract_x
_atom_site_fract_y
_atom_site_fract_z
_atom_site_occupancy
U1 U 0.000 0.000 0.000 1
Pa1 Pa 0.500 0.500 0.500 1
Si1 Si 0.000 0.000 0.293 1
Ru1 Ru 0.000 0.000 0.500 1
Ru2 Ru 0.000 0.500 0.169 1
```

Computed properties:
Energy = -8.726 eV per atom
Size of the total moment = 0.00 Bohr magnetons per cell
E_form (uncorrected) = -0.058 eV/atom


no.,D(E_F) (states/eV/cell)
1,11.6
2,12.9
3,2.0
4,5.7
5,9.0
6,10.2
7,11.9
8,9.0
9,24.4
10,11.9